#P
DFT (PBE) results for a geometry-optimized NbCd2Ru structure.

Unit cell a=4.652 b=4.652 c=4.652 alpha=60.00 beta=60.00 gamma=60.00
Fractional coordinates of all 4 atoms:
Nb  0.000  0.000  0.000
Cd  0.250  0.250  0.250
Cd  0.750  0.750  0.750
Ru  0.500  0.500  0.500

#Q
DFT (PBE) results for a geometry-optimized NbCd2Ru structure.

Unit cell a=6.070 b=6.070 c=6.070 alpha=101.03 beta=101.03 gamma=128.13
Fractional coordinates of all 8 atoms:
Nb  0.000  0.000  0.000
Nb  0.750  0.250  0.500
Cd  0.145  0.625  0.020
Cd  0.375  0.395  0.520
Cd  0.605  0.125  0.980
Cd  0.875  0.855  0.480
Ru  0.250  0.750  0.500
Ru  0.500  0.500  0.000

#P is preferred energetically. Next in line: 30.0 kJ/mol of atoms higher.

#P
DFT (PBE) results for a geometry-optimized NbCdS3 structure.

Unit cell a=4.825 b=4.825 c=4.825 alpha=90.00 beta=90.00 gamma=90.00
Fractional coordinates of all 5 atoms:
Nb  0.000  0.000  0.000
Cd  0.500  0.500  0.500
S  0.000  0.000  0.500
S  0.000  0.500  0.000
S  0.500  0.000  0.000

#Q
DFT (PBE) results for a geometry-optimized NbCdS3 structure.

Unit cell a=4.853 b=4.853 c=4.853 alpha=90.00 beta=90.00 gamma=90.00
Fractional coordinates of all 5 atoms:
Nb  0.000  0.000  0.000
Cd  0.500  0.500  0.500
S  0.000  0.500  0.500
S  0.500  0.000  0.500
S  0.500  0.500  0.000

#P is preferred energetically. Next in line: 113.7 kJ/mol of atoms higher.

#P
DFT (PBE) results for a geometry-optimized Nb2Cd2Sb structure.

Unit cell a=7.817 b=7.817 c=7.817 alpha=151.35 beta=151.35 gamma=40.97
Fractional coordinates of all 5 atoms:
Nb  0.086  0.086  0.000
Nb  0.914  0.914  0.000
Cd  0.250  0.750  0.500
Cd  0.750  0.250  0.500
Sb  0.500  0.500  0.000

#Q
DFT (PBE) results for a geometry-optimized Nb2Cd2Sb structure.

Unit cell a=7.038 b=7.038 c=4.463 alpha=90.00 beta=90.00 gamma=90.00
Fractional coordinates of all 10 atoms:
Nb  0.138  0.362  0.000
Nb  0.362  0.862  0.000
Nb  0.638  0.138  0.000
Nb  0.862  0.638  0.000
Cd  0.158  0.658  0.500
Cd  0.342  0.158  0.500
Cd  0.658  0.842  0.500
Cd  0.842  0.342  0.500
Sb  0.000  0.000  0.000
Sb  0.500  0.500  0.000

#Q is preferred energetically. Next in line: 15.0 kJ/mol of atoms higher.

#P
DFT (PBE) results for a geometry-optimized NbCd2Sb2 structure.

Unit cell a=8.029 b=8.029 c=8.029 alpha=149.47 beta=149.47 gamma=43.72
Fractional coordinates of all 5 atoms:
Nb  0.000  0.000  0.000
Cd  0.409  0.409  0.000
Cd  0.591  0.591  0.000
Sb  0.250  0.750  0.500
Sb  0.750  0.250  0.500

#Q
DFT (PBE) results for a geometry-optimized NbCd2Sb2 structure.

Unit cell a=7.740 b=7.740 c=3.894 alpha=90.00 beta=90.00 gamma=90.00
Fractional coordinates of all 10 atoms:
Nb  0.000  0.000  0.000
Nb  0.500  0.500  0.000
Cd  0.129  0.371  0.000
Cd  0.371  0.871  0.000
Cd  0.629  0.129  0.000
Cd  0.871  0.629  0.000
Sb  0.178  0.678  0.500
Sb  0.322  0.178  0.500
Sb  0.678  0.822  0.500
Sb  0.822  0.322  0.500

#Q is preferred energetically. Next in line: 27.7 kJ/mol of atoms higher.